Record 1
VASP calculation (PBE-GGA) on a geometry-optimized Ca2BeIn structure.

Lattice parameters (Å, degrees): 11.9843 3.5839 5.2540 90.00 115.79 90.00
With the nearest neighbours (Å) after each atom.
Space group Cm (No. 8)
One atom of each set of equivalent atoms:
Ca (0.0000, 0.0000, 0.0000) (multiplicity 2)  2 Be 3.11, 4 In 3.33, 2 Ca 3.36-3.38
Ca (0.1956, 0.0000, 0.6957) (multiplicity 2)  4 Be 3.20-3.22, 4 Ca 3.36-3.58, 4 In 3.48-3.58
Be (0.2355, 0.5000, 0.2338) (multiplicity 2)  2 In 2.59
In (0.4082, 0.0000, 0.4089) (multiplicity 2)  2 Be 2.59

- size of the total moment (Bohr magnetons per cell) = 0.00
- calculated formation energy (eV/atom) = -0.009
- polymorph energy (0 for the lowest one) (meV/atom) = 34.5
- E (eV/atom) = -2.63

---

Record 2
VASP calculation (PBE-GGA) on a geometry-optimized Dy2RhCl2 structure.

Lattice parameters (Å, degrees): 6.6984 3.8693 11.1107 90.00 102.74 90.00
With the nearest neighbours (Å) after each atom.
Space group C2/m (No. 12)
One atom of each set of equivalent atoms:
Dy (0.2228, 0.0000, 0.1538) (multiplicity 4)  3 Rh 2.79, 3 Cl 2.84
Rh (0.0000, 0.5000, 0.0000) (multiplicity 2)  6 Dy 2.79
Cl (0.0517, 0.0000, 0.6850) (multiplicity 4)  3 Dy 2.84

- size of the total moment (Bohr magnetons per cell) = 0.00
- ΔE_f (raw) (meV per atom) = -1508.1
- E (eV/atom) = -5.56

---

Record 3
VASP calculation (PBE-GGA) on a geometry-optimized Ag2SnAu6 structure.

Lattice parameters (Å, degrees): 9.2718 4.2742 8.8440 90.00 106.81 90.00
With the nearest neighbours (Å) after each atom.
Space group C2/m (No. 12)
One atom of each set of equivalent atoms:
Ag (0.1765, 0.0000, 0.2315) (multiplicity 4)  10 Au 2.90-3.02, 2 Sn 3.08
Sn (0.0000, 0.5000, 0.0000) (multiplicity 2)  8 Au 2.95-2.99, 4 Ag 3.08
Au (0.0067, 0.5000, 0.3355) (multiplicity 4)  8 Au 2.93-3.02, 3 Ag 2.93-2.95, 1 Sn 2.95
Au (0.1631, 0.0000, 0.8871) (multiplicity 4)  5 Au 2.94-3.05, 3 Sn 2.95-2.99, 4 Ag 2.96-3.02
Au (0.1635, 0.0000, 0.5548) (multiplicity 4)  3 Ag 2.90-2.95, 9 Au 2.90-3.00

- size of the total moment (Bohr magnetons per cell) = 0.00
- calculated formation energy (eV/atom) = -0.041
- polymorph energy (0 for the lowest one) (meV/atom) = 0.0
- E (eV/atom) = -3.30

---

Record 4
VASP calculation (PBE-GGA) on a geometry-optimized LaHo3TmTh structure.

Lattice parameters (Å, degrees): 7.9837 5.0547 10.1323 90.00 109.01 90.00
With the nearest neighbours (Å) after each atom.
Space group P2_1/m (No. 11)
One atom of each set of equivalent atoms:
La (0.1700, 0.2500, 0.2928) (multiplicity 2)  3 Tm 3.56, 8 Ho 3.59-3.64, 1 Th 3.61
Ho (0.1708, 0.7500, 0.5450) (multiplicity 2)  1 Th 3.53, 3 Tm 3.54-3.62, 5 Ho 3.56-3.64, 3 La 3.59-3.61
Ho (0.1762, 0.7500, 0.0426) (multiplicity 2)  3 Th 3.49-3.53, 1 Tm 3.49, 5 Ho 3.57-3.71, 3 La 3.59-3.62
Ho (0.1772, 0.2500, 0.7936) (multiplicity 2)  1 Tm 3.49, 3 Th 3.49-3.50, 6 Ho 3.56-3.71, 2 La 3.64
Tm (0.4985, 0.2500, 0.6287) (multiplicity 2)  5 Ho 3.49-3.62, 3 La 3.56, 2 Th 3.57, 2 Tm 3.64
Th (0.4981, 0.7500, 0.8781) (multiplicity 2)  7 Ho 3.49-3.53, 2 Th 3.53, 2 Tm 3.57, 1 La 3.61

- size of the total moment (Bohr magnetons per cell) = 0.00
- calculated formation energy (eV/atom) = 0.037
- E (eV/atom) = -5.05

---

Record 5
VASP calculation (PBE-GGA) on a geometry-optimized Pm4MgGe structure.

Lattice parameters (Å, degrees): 7.4158 7.4158 14.1858 90.00 90.00 90.00
With the nearest neighbours (Å) after each atom.
Space group I4_1/amd (No. 141, origin choice 2)
One atom of each set of equivalent atoms:
Pm (0.2366, 0.0000, 0.0000) (multiplicity 16)  2 Ge 3.11, 2 Mg 3.22
Mg (0.0000, 0.2500, 0.3750) (multiplicity 4)  8 Pm 3.22
Ge (0.0000, 0.2500, 0.8750) (multiplicity 4)  8 Pm 3.11

- size of the total moment (Bohr magnetons per cell) = 0.00
- calculated formation energy (eV/atom) = -0.041
- E (eV/atom) = -4.24

---

Record 6
VASP calculation (PBE-GGA) on a geometry-optimized Sc3Tl2Pt structure.

Lattice parameters (Å, degrees): 4.8185 14.9056 7.2207 90.00 90.00 90.00
With the nearest neighbours (Å) after each atom.
Space group Cmmm (No. 65)
One atom of each set of equivalent atoms:
Sc (0.0000, 0.0000, 0.2436) (multiplicity 4)  2 Pt 2.78, 4 Tl 2.98-3.04
Sc (0.0000, 0.3249, 0.2150) (multiplicity 8)  3 Pt 2.90-3.11, 4 Tl 3.04-3.17, 1 Sc 3.10
Tl (0.0000, 0.1685, 0.5000) (multiplicity 4)  8 Sc 3.11-3.17, 4 Tl 3.42-3.48
Tl (0.0000, 0.5000, 0.0000) (multiplicity 2)  8 Sc 2.98-3.04, 4 Pt 3.23
Tl (0.0000, 0.5000, 0.5000) (multiplicity 2)  8 Sc 3.04-3.32
Pt (0.0000, 0.1443, 0.0000) (multiplicity 4)  8 Sc 2.78-3.11

- size of the total moment (Bohr magnetons per cell) = 0.00
- calculated formation energy (eV/atom) = -0.578
- E (eV/atom) = -5.54

---

Record 7
VASP calculation (PBE-GGA) on a geometry-optimized Dy5In2Os structure.

Lattice parameters (Å, degrees): 6.7244 12.6304 4.9699 90.00 90.00 90.00
With the nearest neighbours (Å) after each atom.
Space group Pbam (No. 55)
One atom of each set of equivalent atoms:
Dy (0.0000, 0.0000, 0.0000) (multiplicity 2)  4 In 3.27, 2 Os 3.36, 4 Dy 3.51
Dy (0.1133, 0.2875, 0.0000) (multiplicity 4)  1 Os 2.79
Dy (0.1708, 0.5891, 0.5000) (multiplicity 4)  2 Os 2.96, 2 In 3.14-3.24, 1 Dy 3.22
In (0.1211, 0.8446, 0.5000) (multiplicity 4)  9 Dy 3.14-3.39
Os (0.0000, 0.5000, 0.0000) (multiplicity 2)  6 Dy 2.79-2.96

- size of the total moment (Bohr magnetons per cell) = 0.00
- calculated formation energy (eV/atom) = -0.353
- E (eV/atom) = -5.32

---

Record 8
VASP calculation (PBE-GGA) on a geometry-optimized La5Te6 structure.

Lattice parameters (Å, degrees): 7.9188 13.6821 7.8930 90.00 109.56 90.00
With the nearest neighbours (Å) after each atom.
Space group C2/m (No. 12)
One atom of each set of equivalent atoms:
La (0.0000, 0.0000, 0.0000) (multiplicity 2)  6 Te 3.22-3.30
La (0.0000, 0.1656, 0.5000) (multiplicity 4)  6 Te 3.22-3.24
La (0.0000, 0.3334, 0.0000) (multiplicity 4)  6 Te 3.22-3.29
Te (0.2452, 0.3365, 0.7456) (multiplicity 8)  5 La 3.22-3.29
Te (0.2446, 0.5000, 0.2552) (multiplicity 4)  5 La 3.22-3.30

- size of the total moment (Bohr magnetons per cell) = 0.00
- ΔE_f (raw) (meV per atom) = -1603.8
- E (eV/atom) = -5.56

---

Record 9
VASP calculation (PBE-GGA) on a geometry-optimized La2PmPr3Tm6 structure.

Lattice parameters (Å, degrees): 6.2650 10.8453 11.7735 90.00 100.21 90.00
With the nearest neighbours (Å) after each atom.
Space group C2/m (No. 12)
One atom of each set of equivalent atoms:
La (0.0000, 0.1664, 0.0000) (multiplicity 4)  6 Tm 3.58, 3 La 3.61-3.62, 3 Pm 3.61-3.62
Pm (0.0000, 0.5000, 0.0000) (multiplicity 2)  6 Tm 3.57, 6 La 3.61-3.62
Pr (0.0000, 0.0000, 0.5000) (multiplicity 2)  6 Tm 3.56-3.57, 6 Pr 3.62
Pr (0.0000, 0.3334, 0.5000) (multiplicity 4)  6 Tm 3.56-3.57, 6 Pr 3.61-3.62
Tm (0.2488, 0.5000, 0.7493) (multiplicity 4)  3 Pr 3.56-3.57, 1 Pm 3.57, 2 La 3.58, 6 Tm 3.61-3.62
Tm (0.2501, 0.1663, 0.7495) (multiplicity 8)  3 Pr 3.56-3.57, 1 Pm 3.57, 2 La 3.58, 6 Tm 3.61-3.62

- size of the total moment (Bohr magnetons per cell) = 0.00
- calculated formation energy (eV/atom) = 0.018
- E (eV/atom) = -4.63

---

Record 10
VASP calculation (PBE-GGA) on a geometry-optimized CrIn2Ir structure.

Lattice parameters (Å, degrees): 3.0708 4.5968 5.2199 90.00 92.56 90.00
With the nearest neighbours (Å) after each atom.
Space group P2/m (No. 10)
One atom of each set of equivalent atoms:
Cr (0.0000, 0.0000, 0.0000) (multiplicity 1)  4 In 2.79, 4 Ir 2.97-3.09, 2 Cr 3.07
In (0.2723, 0.5000, 0.7481) (multiplicity 2)  2 Ir 2.74, 2 Cr 2.79, 5 In 2.92-3.07
Ir (0.5000, 0.0000, 0.5000) (multiplicity 1)  4 In 2.74, 2 Cr 2.97, 2 Ir 3.07

- size of the total moment (Bohr magnetons per cell) = 3.26
- calculated formation energy (eV/atom) = 0.308
- polymorph energy (0 for the lowest one) (meV/atom) = 239.4
- E (eV/atom) = -5.68

---

Record 11
VASP calculation (PBE-GGA) on a geometry-optimized CaCd2Ir2 structure.

Lattice parameters (Å, degrees): 4.3741 4.3741 11.4725 90.00 90.00 90.00
With the nearest neighbours (Å) after each atom.
Space group I4/mmm (No. 139)
One atom of each set of equivalent atoms:
Ca (0.0000, 0.0000, 0.0000) (multiplicity 2)  8 Ir 3.31, 8 Cd 3.61
Cd (0.0000, 0.5000, 0.2500) (multiplicity 4)  4 Ir 2.76
Ir (0.0000, 0.0000, 0.3963) (multiplicity 4)  1 Ir 2.38

- size of the total moment (Bohr magnetons per cell) = 0.00
- calculated formation energy (eV/atom) = -0.023
- polymorph energy (0 for the lowest one) (meV/atom) = 0.0
- E (eV/atom) = -4.33

---

Record 12
VASP calculation (PBE-GGA) on a geometry-optimized I2Br structure.

Lattice parameters (Å, degrees): 6.2774 6.6075 8.9631 101.61 101.13 115.41
With the nearest neighbours (Å) after each atom.
Space group P1 (No. 1)
One atom of each set of equivalent atoms:
I (0.0000, 0.0000, 0.0000) (multiplicity 1)  2 I 2.87-2.97
I (0.0270, 0.5487, 0.3755) (multiplicity 1)  2 Br 2.63-2.85
I (0.0854, 0.6125, 0.8857) (multiplicity 1)  2 I 2.87-3.00
I (0.1754, 0.2118, 0.7556) (multiplicity 1)  1 Br 2.80, 2 I 2.97-3.00
Br (0.3569, 0.4077, 0.5279) (multiplicity 1)  2 I 2.80-2.85
Br (0.7349, 0.6918, 0.2355) (multiplicity 1)  1 I 2.63

- size of the total moment (Bohr magnetons per cell) = 0.00
- ΔE_f (raw) (meV per atom) = -11.3
- polymorph energy (0 for the lowest one) (meV/atom) = 26.1
- E (eV/atom) = -1.60

---

Question: Which formula does entry 3 have?
Answer: Ag2SnAu6

---

Question: size of the total moment of number 7 (Dy5In2Os)?
Answer: 0.00 Bohr magnetons per cell